Entry 1:
DFT (GGA-PBE) results for a geometry-optimized Ho3Mg3InGa2 structure.

M_tot, μB/f.u.: 0.00
Total energy, eV for the cell shown: -31.26
Symmetry: No. 38
Volume, Å³/cell: 209.3

Geometry as CIF:
```
data_Ho3Mg3InGa2
_chemical_formula_sum 'Ho3 Mg3 In1 Ga2'
_cell_length_a 4.540
_cell_length_b 7.294
_cell_length_c 7.294
_cell_angle_alpha 119.94
_cell_angle_beta 90.00
_cell_angle_gamma 90.00
_space_group_name_H-M_alt 'P 1'
_space_group_IT_number 1
_space_group_name_Hall 'P 1'
loop_
_atom_site_label
_atom_site_fract_x
_atom_site_fract_y
_atom_site_fract_z
_atom_site_occupancy
Ho1 0.000 0.000 0.000 1
Ho2 0.000 0.438 0.875 1
Ho3 0.000 0.875 0.438 1
Mg1 0.500 0.188 0.438 1
Mg2 0.500 0.438 0.188 1
Mg3 0.500 0.688 0.688 1
In1 0.000 0.437 0.437 1
Ga1 0.500 0.104 0.771 1
Ga2 0.500 0.771 0.104 1
```

Entry 2:
DFT (GGA-PBE) results for a geometry-optimized HfSnIr structure.

M_tot, μB/f.u.: 0.00
Total energy, eV for the cell shown: -69.95
Symmetry: No. 189
Volume, Å³/cell: 161.3

Geometry as CIF:
```
data_HfSnIr
_chemical_formula_sum 'Hf3 Sn3 Ir3'
_cell_length_a 7.761
_cell_length_b 7.761
_cell_length_c 3.092
_cell_angle_alpha 90.00
_cell_angle_beta 90.00
_cell_angle_gamma 120.00
_space_group_name_H-M_alt 'P 1'
_space_group_IT_number 1
_space_group_name_Hall 'P 1'
loop_
_atom_site_label
_atom_site_fract_x
_atom_site_fract_y
_atom_site_fract_z
_atom_site_occupancy
Hf1 0.000 0.301 0.000 1
Hf2 0.301 0.000 0.000 1
Hf3 0.699 0.699 0.000 1
Sn1 0.000 0.000 0.500 1
Sn2 0.333 0.667 0.000 1
Sn3 0.667 0.333 0.000 1
Ir1 0.000 0.640 0.500 1
Ir2 0.360 0.360 0.500 1
Ir3 0.640 0.000 0.500 1
```

Entry 3:
DFT (GGA-PBE) results for a geometry-optimized GdScAs structure.

M_tot, μB/f.u.: 0.04
Total energy, eV for the cell shown: -17.93
Symmetry: No. 216
Volume, Å³/cell: 72.8

Geometry as CIF:
```
data_GdScAs
_chemical_formula_sum 'Gd1 Sc1 As1'
_cell_length_a 4.687
_cell_length_b 4.687
_cell_length_c 4.687
_cell_angle_alpha 60.00
_cell_angle_beta 60.00
_cell_angle_gamma 60.00
_space_group_name_H-M_alt 'P 1'
_space_group_IT_number 1
_space_group_name_Hall 'P 1'
loop_
_atom_site_label
_atom_site_fract_x
_atom_site_fract_y
_atom_site_fract_z
_atom_site_occupancy
Gd1 0.000 0.000 0.000 1
Sc1 0.500 0.500 0.500 1
As1 0.250 0.250 0.250 1
```

Entry 4:
DFT (GGA-PBE) results for a geometry-optimized Na2Mg2Cd3 structure.

Total energy, eV for the cell shown: -8.50
Symmetry: No. 160
Volume, Å³/cell: 171.0

Geometry as CIF:
```
data_Na2Mg2Cd3
_chemical_formula_sum 'Na2 Mg2 Cd3'
_cell_length_a 8.455
_cell_length_b 8.455
_cell_length_c 8.455
_cell_angle_alpha 34.28
_cell_angle_beta 34.28
_cell_angle_gamma 34.28
_space_group_name_H-M_alt 'P 1'
_space_group_IT_number 1
_space_group_name_Hall 'P 1'
loop_
_atom_site_label
_atom_site_fract_x
_atom_site_fract_y
_atom_site_fract_z
_atom_site_occupancy
Na1 0.000 0.000 0.000 1
Na2 0.481 0.481 0.481 1
Mg1 0.232 0.232 0.232 1
Mg2 0.741 0.741 0.741 1
Cd1 0.357 0.357 0.357 1
Cd2 0.611 0.611 0.611 1
Cd3 0.868 0.868 0.868 1
```

- volume of number 4 (Na2Mg2Cd3)?
  171.0 Å³/cell

- Which value of volume does entry 4 give?
  171.0 Å³/cell

- volume of number 1 (Ho3Mg3InGa2)?
  209.3 Å³/cell